Entry 1:
Entry from Alexandria via LeMat-Bulk: an optimized crystal structure of Sr2TbDySe4 (GGA-PBE).

- uncorrected formation energy (eV per formula unit) = -15.1
- magnetic moment (Bohr magnetons per cell) = 0.0

a = 7.282 Å, b = 4.210 Å, c = 7.467 Å
α = 90.00°, β = 109.03°, γ = 90.00°
Space group P2/m (No. 10)
Inequivalent atoms, fractional coordinates:
Sr (0.000, 0.000, 0.000) [1 per cell]
Sr (0.500, 0.500, 0.000) [1 per cell]
Tb (0.000, 0.500, 0.500) [1 per cell]
Dy (0.500, 0.000, 0.500) [1 per cell]
Se (0.245, 0.000, 0.731) [2 per cell]
Se (0.257, 0.500, 0.269) [2 per cell]

=====

Entry 2:
Entry from Alexandria via LeMat-Bulk: an optimized crystal structure of SrTb2DySe4 (GGA-PBE).

- uncorrected formation energy (eV per formula unit) = -14.4
- magnetic moment (Bohr magnetons per cell) = 0.0

a = 7.219 Å, b = 4.139 Å, c = 7.221 Å
α = 90.00°, β = 109.07°, γ = 90.00°
Space group P2/m (No. 10)
Inequivalent atoms, fractional coordinates:
Sr (0.000, 0.000, 0.000) [1 per cell]
Tb (0.000, 0.500, 0.500) [1 per cell]
Tb (0.500, 0.000, 0.500) [1 per cell]
Dy (0.500, 0.500, 0.000) [1 per cell]
Se (0.256, 0.000, 0.747) [2 per cell]
Se (0.261, 0.500, 0.260) [2 per cell]

=====

Entry 3:
Entry from Alexandria via LeMat-Bulk: an optimized crystal structure of Sr3TbDy2Se6 (GGA-PBE).

- uncorrected formation energy (eV per formula unit) = -22.6
- magnetic moment (Bohr magnetons per cell) = 0.0

a = 7.290 Å, b = 12.612 Å, c = 7.461 Å
α = 90.00°, β = 109.03°, γ = 90.00°
Space group C2/m (No. 12)
Inequivalent atoms, fractional coordinates:
Sr (0.000, 0.000, 0.000) [2 per cell]
Sr (0.000, 0.334, 0.000) [4 per cell]
Tb (0.000, 0.500, 0.500) [2 per cell]
Dy (0.000, 0.167, 0.500) [4 per cell]
Se (0.242, 0.000, 0.731) [4 per cell]
Se (0.244, 0.333, 0.731) [8 per cell]

=====

Entry 4:
Entry from Alexandria via LeMat-Bulk: an optimized crystal structure of Sr2DyThSe4 (GGA-PBE).

- uncorrected formation energy (eV per formula unit) = -14.2
- magnetic moment (Bohr magnetons per cell) = 0.0

a = 7.323 Å, b = 4.207 Å, c = 7.560 Å
α = 90.00°, β = 108.60°, γ = 90.00°
Space group P2/m (No. 10)
Inequivalent atoms, fractional coordinates:
Sr (0.000, 0.000, 0.000) [1 per cell]
Sr (0.500, 0.500, 0.000) [1 per cell]
Dy (0.000, 0.500, 0.500) [1 per cell]
Th (0.500, 0.000, 0.500) [1 per cell]
Se (0.239, 0.000, 0.733) [2 per cell]
Se (0.248, 0.500, 0.261) [2 per cell]

=====

Entry 5:
Entry from Alexandria via LeMat-Bulk: an optimized crystal structure of SrDy2TmSe4 (GGA-PBE).

- uncorrected formation energy (eV per formula unit) = -14.1
- magnetic moment (Bohr magnetons per cell) = 0.0

a = 7.172 Å, b = 4.115 Å, c = 7.180 Å
α = 90.00°, β = 109.06°, γ = 90.00°
Space group P2/m (No. 10)
Inequivalent atoms, fractional coordinates:
Sr (0.000, 0.000, 0.000) [1 per cell]
Dy (0.000, 0.500, 0.500) [1 per cell]
Dy (0.500, 0.000, 0.500) [1 per cell]
Tm (0.500, 0.500, 0.000) [1 per cell]
Se (0.259, 0.000, 0.749) [2 per cell]
Se (0.263, 0.500, 0.259) [2 per cell]

=====

Entry 6:
Entry from Alexandria via LeMat-Bulk: an optimized crystal structure of SrDyTm4Se8 (GGA-PBE).

- uncorrected formation energy (eV per formula unit) = -24.8
- magnetic moment (Bohr magnetons per cell) = 0.0

a = 8.4402 Å, b = 8.4402 Å, c = 20.7763 Å
α = 90.00°, β = 90.00°, γ = 120.00°
Space group R3m (No. 160, hexagonal axes)
Inequivalent atoms, fractional coordinates:
Sr (0.0000, 0.0000, 0.0000) [3 per cell]
Dy (0.0000, 0.0000, 0.3721) [3 per cell]
Tm (0.0000, 0.0000, 0.7489) [3 per cell]
Tm (0.0048, 0.5024, 0.8748) [9 per cell]
Se (0.0000, 0.0000, 0.1387) [3 per cell]
Se (0.0000, 0.0000, 0.6165) [3 per cell]
Se (0.0179, 0.5089, 0.1276) [9 per cell]
Se (0.1845, 0.3689, 0.9515) [9 per cell]

=====

Entry 7:
Entry from Alexandria via LeMat-Bulk: an optimized crystal structure of SrDy4TmSe8 (GGA-PBE).

- uncorrected formation energy (eV per formula unit) = -25.0
- magnetic moment (Bohr magnetons per cell) = 0.0

a = 8.5207 Å, b = 8.5207 Å, c = 20.7870 Å
α = 90.00°, β = 90.00°, γ = 120.00°
Space group R3m (No. 160, hexagonal axes)
Inequivalent atoms, fractional coordinates:
Sr (0.0000, 0.0000, 0.0000) [3 per cell]
Dy (0.0000, 0.0000, 0.2491) [3 per cell]
Dy (0.1692, 0.3383, 0.4572) [9 per cell]
Tm (0.0000, 0.0000, 0.6263) [3 per cell]
Se (0.0000, 0.0000, 0.3817) [3 per cell]
Se (0.0000, 0.0000, 0.8611) [3 per cell]
Se (0.0381, 0.5191, 0.3778) [9 per cell]
Se (0.1780, 0.3559, 0.2063) [9 per cell]

=====

Entry 8:
Entry from Alexandria via LeMat-Bulk: an optimized crystal structure of Sr4DyY3Se8 (GGA-PBE).

- uncorrected formation energy (eV per formula unit) = -30.3
- magnetic moment (Bohr magnetons per cell) = 0.0

a = 8.4096 Å, b = 8.4096 Å, c = 21.1835 Å
α = 90.00°, β = 90.00°, γ = 120.00°
Space group R-3m (No. 166, hexagonal axes)
Inequivalent atoms, fractional coordinates:
Sr (0.0000, 0.0000, 0.0000) [3 per cell]
Sr (0.0000, 0.5000, 0.0000) [9 per cell]
Dy (0.0000, 0.0000, 0.5000) [3 per cell]
Y (0.0000, 0.5000, 0.5000) [9 per cell]
Se (0.0000, 0.0000, 0.2437) [6 per cell]
Se (0.0006, 0.5003, 0.2436) [18 per cell]

=====

Entry 9:
Entry from Alexandria via LeMat-Bulk: an optimized crystal structure of SrDyY2Se4 (GGA-PBE).

- uncorrected formation energy (eV per formula unit) = -14.4
- magnetic moment (Bohr magnetons per cell) = 0.0

a = 7.213 Å, b = 4.136 Å, c = 7.213 Å
α = 90.00°, β = 109.08°, γ = 90.00°
Space group P2/m (No. 10)
Inequivalent atoms, fractional coordinates:
Sr (0.000, 0.000, 0.000) [1 per cell]
Dy (0.500, 0.500, 0.000) [1 per cell]
Y (0.000, 0.500, 0.500) [1 per cell]
Y (0.500, 0.000, 0.500) [1 per cell]
Se (0.256, 0.000, 0.746) [2 per cell]
Se (0.262, 0.500, 0.261) [2 per cell]

=====

Entry 10:
Entry from Alexandria via LeMat-Bulk: an optimized crystal structure of SrDy4YSe8 (GGA-PBE).

- uncorrected formation energy (eV per formula unit) = -25.1
- magnetic moment (Bohr magnetons per cell) = 0.0

a = 8.5274 Å, b = 8.5274 Å, c = 20.9100 Å
α = 90.00°, β = 90.00°, γ = 120.00°
Space group R3m (No. 160, hexagonal axes)
Inequivalent atoms, fractional coordinates:
Sr (0.0000, 0.0000, 0.0000) [3 per cell]
Dy (0.0000, 0.0000, 0.7496) [3 per cell]
Dy (0.0049, 0.5025, 0.8753) [9 per cell]
Y (0.0000, 0.0000, 0.3727) [3 per cell]
Se (0.0000, 0.0000, 0.1384) [3 per cell]
Se (0.0000, 0.0000, 0.6171) [3 per cell]
Se (0.0199, 0.5099, 0.1273) [9 per cell]
Se (0.1845, 0.3689, 0.9532) [9 per cell]

=====

Entry 11:
Entry from Alexandria via LeMat-Bulk: an optimized crystal structure of Dy6TaSe12 (GGA-PBE).

- uncorrected formation energy (eV per formula unit) = -28.9
- magnetic moment (Bohr magnetons per cell) = 0.0

a = 12.2994 Å, b = 12.2994 Å, c = 11.7326 Å
α = 90.00°, β = 90.00°, γ = 120.00°
Space group R-3 (No. 148, hexagonal axes)
Inequivalent atoms, fractional coordinates:
Dy (0.0535, 0.7758, 0.1401) [18 per cell]
Ta (0.0000, 0.0000, 0.5000) [3 per cell]
Se (0.0343, 0.8178, 0.8960) [18 per cell]
Se (0.0543, 0.8582, 0.3789) [18 per cell]

=====

Entry 12:
Entry from Alexandria via LeMat-Bulk: an optimized crystal structure of DyTa2Se6 (GGA-PBE).

- uncorrected formation energy (eV per formula unit) = -7.4
- magnetic moment (Bohr magnetons per cell) = 2.0

a = 12.808 Å, b = 4.900 Å, c = 9.049 Å
α = 90.00°, β = 118.02°, γ = 90.00°
Space group C2/m (No. 12)
Inequivalent atoms, fractional coordinates:
Dy (0.000, 0.000, 0.000) [2 per cell]
Ta (0.179, 0.000, 0.619) [4 per cell]
Se (0.016, 0.000, 0.695) [4 per cell]
Se (0.150, 0.500, 0.095) [4 per cell]
Se (0.203, 0.500, 0.562) [4 per cell]

=====

Q: Which formula does entry 10 have?
A: SrDy4YSe8